Record 1
DyHo3In2 after structural relaxation, computed with PBE-GGA.

excess energy over the best structure of this formula in the dataset: 0.0000 eV per atom
mass density: 8.70 g/cm3
VASP energy: -51.9 eV/cell
spin magnetization: 0.00 μB/atom

The structure in CIF format:
```
data_DyHo3In2
_chemical_formula_sum 'Dy2 Ho6 In4'
_cell_length_a 5.1583
_cell_length_b 9.7904
_cell_length_c 6.7031
_cell_angle_alpha 90.00
_cell_angle_beta 90.00
_cell_angle_gamma 90.00
_space_group_name_H-M_alt 'P m c 21'
_space_group_IT_number 26
loop_
_space_group_symop_operation_xyz
'x,y,z'
'-x,-y,z+1/2'
'-x,y,z'
'x,-y,z+1/2'
loop_
_atom_site_label
_atom_site_fract_x
_atom_site_fract_y
_atom_site_fract_z
_atom_site_occupancy
Dy1 0.0000 0.0373 0.0000 1
Ho1 0.0000 0.3182 0.6459 1
Ho2 0.5000 0.1830 0.2792 1
Ho3 0.5000 0.4623 0.9255 1
In1 0.0000 0.3591 0.1720 1
In2 0.5000 0.1412 0.7529 1
```

Record 2
Mg2SnI2 after structural relaxation, computed with PBE-GGA.

excess energy over the best structure of this formula in the dataset: 0.0000 eV per atom
mass density: 4.57 g/cm3
VASP energy: -20.4 eV/cell
formation energy without anion corrections: 0.023 eV/atom
spin magnetization: 0.00 μB/atom

The structure in CIF format:
```
data_Mg2SnI2
_chemical_formula_sum 'Mg4 Sn2 I4'
_cell_length_a 8.9723
_cell_length_b 8.9723
_cell_length_c 3.8051
_cell_angle_alpha 90.00
_cell_angle_beta 90.00
_cell_angle_gamma 90.00
_space_group_name_H-M_alt 'P 4/m b m'
_space_group_IT_number 127
_space_group_name_Hall '-P 4 2ab'
loop_
_atom_site_label
_atom_site_fract_x
_atom_site_fract_y
_atom_site_fract_z
_atom_site_occupancy
Mg1 0.1662 0.3338 0.0000 1
Sn1 0.0000 0.0000 0.5000 1
I1 0.1438 0.6438 0.5000 1
```

Record 3
Zn2InRe after structural relaxation, computed with PBE-GGA.

mass density: 10.59 g/cm3
VASP energy: -49.0 eV/cell
spin magnetization: 0.01 μB/atom

The structure in CIF format:
```
data_Zn2InRe
_chemical_formula_sum 'Zn6 In3 Re3'
_cell_length_a 2.9412
_cell_length_b 2.9412
_cell_length_c 27.1153
_cell_angle_alpha 90.00
_cell_angle_beta 90.00
_cell_angle_gamma 120.00
_space_group_name_H-M_alt 'R -3 m'
_space_group_IT_number 166
_space_group_name_Hall '-R 3 2"'
loop_
_atom_site_label
_atom_site_fract_x
_atom_site_fract_y
_atom_site_fract_z
_atom_site_occupancy
Zn1 0.0000 0.0000 0.2443 1
In1 0.0000 0.0000 0.0000 1
Re1 0.0000 0.0000 0.5000 1
```

Record 4
AcGdNiGe after structural relaxation, computed with PBE-GGA.

mass density: 8.63 g/cm3
VASP energy: -120.5 eV/cell
spin magnetization: 1.77 μB/atom

The structure in CIF format:
```
data_AcGdNiGe
_chemical_formula_sum 'Ac4 Gd4 Ni4 Ge4'
_cell_length_a 7.3473
_cell_length_b 7.3473
_cell_length_c 7.3473
_cell_angle_alpha 90.00
_cell_angle_beta 90.00
_cell_angle_gamma 90.00
_space_group_name_H-M_alt 'F -4 3 m'
_space_group_IT_number 216
_space_group_name_Hall 'F -4 2 3'
loop_
_atom_site_label
_atom_site_fract_x
_atom_site_fract_y
_atom_site_fract_z
_atom_site_occupancy
Ac1 0.0000 0.0000 0.0000 1
Gd1 0.0000 0.0000 0.5000 1
Ni1 0.2500 0.2500 0.7500 1
Ge1 0.2500 0.2500 0.2500 1
```

Record 5
MoOsW2 after structural relaxation, computed with PBE-GGA.

excess energy over the best structure of this formula in the dataset: 0.0000 eV per atom
mass density: 17.29 g/cm3
VASP energy: -94.9 eV/cell
spin magnetization: 0.00 μB/atom

The structure in CIF format:
```
data_MoOsW2
_chemical_formula_sum 'Mo2 Os2 W4'
_cell_length_a 3.1533
_cell_length_b 4.4672
_cell_length_c 8.9148
_cell_angle_alpha 90.00
_cell_angle_beta 90.00
_cell_angle_gamma 90.00
_space_group_name_H-M_alt 'I m m 2'
_space_group_IT_number 44
loop_
_space_group_symop_operation_xyz
'x,y,z'
'-x,-y,z'
'-x,y,z'
'x,-y,z'
'x+1/2,y+1/2,z+1/2'
'-x+1/2,-y+1/2,z+1/2'
'-x+1/2,y+1/2,z+1/2'
'x+1/2,-y+1/2,z+1/2'
loop_
_atom_site_label
_atom_site_fract_x
_atom_site_fract_y
_atom_site_fract_z
_atom_site_occupancy
Mo1 0.0000 0.0000 0.0000 1
Os1 0.0000 0.5000 0.7618 1
W1 0.0000 0.0000 0.5166 1
W2 0.0000 0.5000 0.2567 1
```

Record 6
Zn3FeTe after structural relaxation, computed with PBE-GGA.

excess energy over the best structure of this formula in the dataset: 0.0000 eV per atom
mass density: 5.88 g/cm3
VASP energy: -12.9 eV/cell
formation energy without anion corrections: 0.512 eV/atom
spin magnetization: 0.54 μB/atom

The structure in CIF format:
```
data_Zn3FeTe
_chemical_formula_sum 'Zn3 Fe1 Te1'
_cell_length_a 4.7502
_cell_length_b 4.7502
_cell_length_c 4.7502
_cell_angle_alpha 90.00
_cell_angle_beta 90.00
_cell_angle_gamma 90.00
_space_group_name_H-M_alt 'P m -3 m'
_space_group_IT_number 221
_space_group_name_Hall '-P 4 2 3'
loop_
_atom_site_label
_atom_site_fract_x
_atom_site_fract_y
_atom_site_fract_z
_atom_site_occupancy
Zn1 0.0000 0.0000 0.5000 1
Fe1 0.0000 0.0000 0.0000 1
Te1 0.5000 0.5000 0.5000 1
```

Record 7
Li4Tm3TiS8 after structural relaxation, computed with PBE-GGA.

mass density: 4.59 g/cm3
VASP energy: -268.2 eV/cell
formation energy without anion corrections: -1.714 eV/atom
spin magnetization: 0.06 μB/atom

The structure in CIF format:
```
data_Li4Tm3TiS8
_chemical_formula_sum 'Li12 Tm9 Ti3 S24'
_cell_length_a 7.5548
_cell_length_b 7.5548
_cell_length_c 18.4221
_cell_angle_alpha 90.00
_cell_angle_beta 90.00
_cell_angle_gamma 120.00
_space_group_name_H-M_alt 'R -3 m'
_space_group_IT_number 166
_space_group_name_Hall '-R 3 2"'
loop_
_atom_site_label
_atom_site_fract_x
_atom_site_fract_y
_atom_site_fract_z
_atom_site_occupancy
Li1 0.0000 0.0000 0.0000 1
Li2 0.0000 0.5000 0.0000 1
Tm1 0.0000 0.5000 0.5000 1
Ti1 0.0000 0.0000 0.5000 1
S1 0.0000 0.0000 0.2506 1
S2 0.0158 0.5079 0.2476 1
```

Record 8
Cd4AgHg7 after structural relaxation, computed with PBE-GGA.

mass density: 11.24 g/cm3
VASP energy: -8.2 eV/cell
spin magnetization: 0.00 μB/atom

The structure in CIF format:
```
data_Cd4AgHg7
_chemical_formula_sum 'Cd4 Ag1 Hg7'
_cell_length_a 6.1248
_cell_length_b 6.2348
_cell_length_c 7.9583
_cell_angle_alpha 86.93
_cell_angle_beta 89.19
_cell_angle_gamma 72.77
_space_group_name_H-M_alt 'P -1'
_space_group_IT_number 2
loop_
_space_group_symop_operation_xyz
'x,y,z'
'-x,-y,-z'
loop_
_atom_site_label
_atom_site_fract_x
_atom_site_fract_y
_atom_site_fract_z
_atom_site_occupancy
Cd1 0.1540 0.1431 0.3950 1
Cd2 0.3126 0.3175 0.7107 1
Ag1 0.5000 0.5000 0.0000 1
Hg1 0.0000 0.5000 0.0000 1
Hg2 0.2107 0.6151 0.3427 1
Hg3 0.2491 0.9858 0.0494 1
Hg4 0.3533 0.8132 0.6899 1
```

Record 9
KInC after structural relaxation, computed with PBE-GGA.

mass density: 3.90 g/cm3
VASP energy: -20.8 eV/cell
spin magnetization: 0.14 μB/atom

The structure in CIF format:
```
data_KInC
_chemical_formula_sum 'K2 In2 C2'
_cell_length_a 3.9694
_cell_length_b 5.6523
_cell_length_c 6.8334
_cell_angle_alpha 99.57
_cell_angle_beta 90.16
_cell_angle_gamma 110.48
_space_group_name_H-M_alt 'P -1'
_space_group_IT_number 2
loop_
_space_group_symop_operation_xyz
'x,y,z'
'-x,-y,-z'
loop_
_atom_site_label
_atom_site_fract_x
_atom_site_fract_y
_atom_site_fract_z
_atom_site_occupancy
K1 0.1229 0.2431 0.3508 1
In1 0.3660 0.7314 0.0815 1
C1 0.1849 0.3717 0.8004 1
```

Record 10
YAgH after structural relaxation, computed with PBE-GGA.

excess energy over the best structure of this formula in the dataset: 0.0000 eV per atom
mass density: 6.57 g/cm3
VASP energy: -28.3 eV/cell
spin magnetization: 0.00 μB/atom

The structure in CIF format:
```
data_YAgH
_chemical_formula_sum 'Y2 Ag2 H2'
_cell_length_a 3.6724
_cell_length_b 3.6724
_cell_length_c 7.4114
_cell_angle_alpha 90.00
_cell_angle_beta 90.00
_cell_angle_gamma 90.00
_space_group_name_H-M_alt 'P 4/n m m'
_space_group_IT_number 129
loop_
_space_group_symop_operation_xyz
'x,y,z'
'-x,-y,-z'
'-y+1/2,x,z'
'y+1/2,-x,-z'
'-x+1/2,-y+1/2,z'
'x+1/2,y+1/2,-z'
'y,-x+1/2,z'
'-y,x+1/2,-z'
'x+1/2,-y,-z'
'-x+1/2,y,z'
'-y,-x,-z'
'y,x,z'
'-x,y+1/2,-z'
'x,-y+1/2,z'
'y+1/2,x+1/2,-z'
'-y+1/2,-x+1/2,z'
loop_
_atom_site_label
_atom_site_fract_x
_atom_site_fract_y
_atom_site_fract_z
_atom_site_occupancy
Y1 0.2500 0.2500 0.1715 1
Ag1 0.2500 0.2500 0.5954 1
H1 0.2500 0.7500 0.0000 1
```

Record 11
YTm2Sc3Te6 after structural relaxation, computed with PBE-GGA.

mass density: 6.78 g/cm3
VASP energy: -134.3 eV/cell
formation energy without anion corrections: -1.159 eV/atom
spin magnetization: 0.00 μB/atom

The structure in CIF format:
```
data_YTm2Sc3Te6
_chemical_formula_sum 'Y2 Tm4 Sc6 Te12'
_cell_length_a 18.5084
_cell_length_b 4.2388
_cell_length_c 8.5112
_cell_angle_alpha 90.00
_cell_angle_beta 103.16
_cell_angle_gamma 90.00
_space_group_name_H-M_alt 'C 1 2/m 1'
_space_group_IT_number 12
loop_
_space_group_symop_operation_xyz
'x,y,z'
'-x,-y,-z'
'-x,y,-z'
'x,-y,z'
'x+1/2,y+1/2,z'
'-x+1/2,-y+1/2,-z'
'-x+1/2,y+1/2,-z'
'x+1/2,-y+1/2,z'
loop_
_atom_site_label
_atom_site_fract_x
_atom_site_fract_y
_atom_site_fract_z
_atom_site_occupancy
Y1 0.0000 0.0000 0.0000 1
Tm1 0.1646 0.5000 0.3305 1
Sc1 0.0000 0.0000 0.5000 1
Sc2 0.1636 0.5000 0.8337 1
Te1 0.0019 0.5000 0.7402 1
Te2 0.1656 0.0000 0.5888 1
Te3 0.1715 0.0000 0.0792 1
```

Record 12
Be2MoP after structural relaxation, computed with PBE-GGA.

mass density: 4.90 g/cm3
VASP energy: -67.0 eV/cell
spin magnetization: 0.00 μB/atom

The structure in CIF format:
```
data_Be2MoP
_chemical_formula_sum 'Be6 Mo3 P3'
_cell_length_a 2.7610
_cell_length_b 2.7610
_cell_length_c 22.3130
_cell_angle_alpha 90.00
_cell_angle_beta 90.00
_cell_angle_gamma 120.00
_space_group_name_H-M_alt 'R -3 m'
_space_group_IT_number 166
_space_group_name_Hall '-R 3 2"'
loop_
_atom_site_label
_atom_site_fract_x
_atom_site_fract_y
_atom_site_fract_z
_atom_site_occupancy
Be1 0.0000 0.0000 0.2419 1
Mo1 0.0000 0.0000 0.0000 1
P1 0.0000 0.0000 0.5000 1
```